[1]
Below is a relaxed structure of BeZnRu2, with properties calculated at the PBE level.

Structure (POSCAR):
```
BeZnRu2
1.0
8.251 0.000 0.000
0.000 2.728 0.000
-1.088 0.000 4.593
Be Zn Ru
2 2 4
direct
0.000 0.000 0.000
0.500 0.500 0.000
0.000 0.500 0.500
0.500 0.000 0.500
0.237 0.500 0.228
0.263 0.000 0.772
0.737 0.000 0.228
0.763 0.500 0.772
```

Values from the calculation:
Electronic total energy in eV/cell: -46.65
Magnetic moment in μB/f.u.: 0.00
Formation enthalpy at 0 K in eV per atom: 0.057

[2]
Below is a relaxed structure of BaRuCl3, with properties calculated at the PBE level.

Structure (POSCAR):
```
BaRuCl3
1.0
5.921 0.000 0.000
0.000 5.921 0.000
0.000 0.000 5.921
Ba Ru Cl
1 1 3
direct
0.000 0.000 0.000
0.500 0.500 0.500
0.000 0.000 0.500
0.000 0.500 0.000
0.500 0.000 0.000
```

Values from the calculation:
Raw formation energy in meV/atom: -352
Electronic total energy in eV/cell: -18.50
Magnetic moment in μB/f.u.: 3.00

[3]
Below is a relaxed structure of CsYCd2Cl, with properties calculated at the PBE level.

Structure (POSCAR):
```
CsYCd2Cl
1.0
5.834 0.000 0.000
0.000 5.834 0.000
0.000 0.000 5.906
Cs Y Cd Cl
1 1 2 1
direct
0.000 0.000 0.000
0.500 0.500 0.000
0.000 0.500 0.500
0.500 0.000 0.500
0.000 0.000 0.500
```

Values from the calculation:
Raw formation energy in meV/atom: 207
Electronic total energy in eV/cell: -9.96
Magnetic moment in μB/f.u.: 1.31

> Which of these has the lowest magnetic moment?

BeZnRu2

What did the first record say?
Below is a relaxed structure of BeZnRu2, with properties calculated at the PBE level.

Structure (POSCAR):
```
BeZnRu2
1.0
8.251 0.000 0.000
0.000 2.728 0.000
-1.088 0.000 4.593
Be Zn Ru
2 2 4
direct
0.000 0.000 0.000
0.500 0.500 0.000
0.000 0.500 0.500
0.500 0.000 0.500
0.237 0.500 0.228
0.263 0.000 0.772
0.737 0.000 0.228
0.763 0.500 0.772
```

Values from the calculation:
Electronic total energy in eV/cell: -46.65
Magnetic moment in μB/f.u.: 0.00
Formation enthalpy at 0 K in eV per atom: 0.057